No. 1
## MgRe2Hg (PBE)

Data for a geometry-optimized MgRe2Hg structure.

```
MgRe2Hg
1.0
1.5110 -2.3896 0.0000
1.5110 2.3896 0.0000
0.0000 0.0000 9.6673
Mg Re Hg
1 2 1
direct
0.0000 0.0000 0.0000
0.0000 0.0000 0.5398
0.5000 0.5000 0.7572
0.5000 0.5000 0.2676
```

Results
Magnetic moment: 0.00 μB/f.u.
Energy above the most stable polymorph in this dataset: 0.2192 eV/atom
Density: 14.208 g/cm³
Density of states at the Fermi level: 0.57 states/eV per atom
Total energy: -25.17 eV/cell

***

No. 2
## MgTlFe (PBE)

Data for a geometry-optimized MgTlFe structure.

```
MgTlFe
1.0
0.0000 3.1907 3.1907
3.1907 0.0000 3.1907
3.1907 3.1907 0.0000
Mg Tl Fe
1 1 1
direct
0.0000 0.0000 0.0000
0.5000 0.5000 0.5000
0.7500 0.7500 0.7500
```

Results
Magnetic moment: 2.38 μB/f.u.
Density: 7.273 g/cm³
Density of states at the Fermi level: 1.24 states/eV per atom
Total energy: -10.96 eV/cell

***

No. 3
## KZnOs2O8 (PBE)

Data for a geometry-optimized KZnOs2O8 structure.

```
KZnOs2O8
1.0
4.1680 -3.2388 0.0000
4.1680 3.2388 0.0000
-2.7011 0.0000 6.7742
K Zn Os O
1 1 2 8
direct
0.0000 0.0000 0.0000
0.0000 0.0000 0.5000
0.4477 0.4477 0.7603
0.5523 0.5523 0.2397
0.2253 0.7023 0.2785
0.2430 0.2430 0.5463
0.2977 0.7747 0.7215
0.3471 0.3471 0.9453
0.6529 0.6529 0.0547
0.7023 0.2253 0.2785
0.7570 0.7570 0.4537
0.7747 0.2977 0.7215
```

Results
ΔE_f (raw): -13.139 eV per formula unit
Magnetic moment: 0.00 μB/f.u.
Density: 5.565 g/cm³
Density of states at the Fermi level: 0.38 states/eV per atom
Total energy: -77.64 eV/cell

***

No. 4
## PrSm2Hg4 (PBE)

Data for a geometry-optimized PrSm2Hg4 structure.

```
PrSm2Hg4
1.0
2.6003 1.5013 8.9505
-2.6003 1.5013 8.9505
0.0000 -3.0026 8.9505
Pr Sm Hg
1 2 4
direct
0.0000 0.0000 0.0000
0.2424 0.2424 0.2424
0.7576 0.7576 0.7576
0.1265 0.1265 0.1265
0.3798 0.3798 0.3798
0.6202 0.6202 0.6202
0.8735 0.8735 0.8735
```

Results
Magnetic moment: 0.00 μB/f.u.
Density: 9.853 g/cm³
Density of states at the Fermi level: 0.91 states/eV per atom
Total energy: -17.74 eV/cell